Record 1
Below is an optimized crystal structure of HgSe3N, with properties calculated at the GGA-PBE level.

Polymorph energy (0 for the lowest one) in eV/atom: 0.820
Calculated volume in Å³/f.u.: 156.4
Total magnetic moment in μB/cell: 5.77
SG: Pm-3m

Cell lengths 5.387, 5.387, 5.387 Å; angles 90.00, 90.00, 90.00 degrees
Fractional positions:
Hg 0.000 0.000 0.000
Se 0.000 0.500 0.000
Se 0.000 0.000 0.500
Se 0.500 0.000 0.000
N 0.500 0.500 0.500

---

Record 2
Below is an optimized crystal structure of NpInIrPt, with properties calculated at the GGA-PBE level.

Formation energy from the elements in meV/atom: -326
Calculated volume in Å³/f.u.: 77.4
Total magnetic moment in μB/cell: 3.22
SG: F-43m

Cell lengths 4.784, 4.784, 4.784 Å; angles 60.00, 60.00, 60.00 degrees
Fractional positions:
Np 0.250 0.250 0.250
Ir 0.000 0.000 0.000
Pt 0.500 0.500 0.500
In 0.750 0.750 0.750